The following is a PBE calculation of AsPd2Pt2 after structural relaxation, from the Alexandria database.

a b c (Å): 6.479 6.479 4.040
angles (deg): 90.00 90.00 90.00
Space group P4/mbm (No. 127)
One atom of each set of equivalent atoms:
As1 0.000 0.000 0.000 x2
Pd1 0.156 0.344 0.500 x4
Pt1 0.147 0.647 0.000 x4

Crystal system: tetragonal
E in eV/atom: -5.434
Formation energy from the elements in eV per formula unit: -0.1